(1)
Below is a relaxed Cd2In2Pb3 crystal, with properties calculated at the PBE-GGA level.

Unit cell a=9.0996 b=9.0996 c=9.0996 alpha=34.25 beta=34.25 gamma=34.25
Fractional coordinates of all 7 atoms:
Cd1 0.0000 0.0000 0.0000
Cd2 0.4846 0.4846 0.4846
In1 0.2304 0.2304 0.2304
In2 0.7459 0.7459 0.7459
Pb1 0.3635 0.3635 0.3635
Pb2 0.6163 0.6163 0.6163
Pb3 0.8673 0.8673 0.8673

Output
Energy (eV/cell): -17.69



(2)
Below is a relaxed PmGeB4 crystal, with properties calculated at the PBE-GGA level.

Unit cell a=5.2297 b=5.2297 c=5.2297 alpha=144.33 beta=120.46 gamma=71.38
Fractional coordinates of all 6 atoms:
Pm1 0.0000 0.0000 0.0000
Ge1 0.5000 0.5000 0.0000
B1 0.0646 0.7399 0.3247
B2 0.4152 0.7399 0.6753
B3 0.5848 0.2601 0.3247
B4 0.9354 0.2601 0.6753

Output
Relative energy among the computed polymorphs (meV per atom): 0
M_tot (μB per atom): 0.001
Energy (eV/cell): -36.17



(3)
Below is a relaxed Zn2Si3B2 crystal, with properties calculated at the PBE-GGA level.

Unit cell a=8.2647 b=8.2647 c=8.2647 alpha=25.62 beta=25.62 gamma=25.62
Fractional coordinates of all 7 atoms:
Zn1 0.0000 0.0000 0.0000
Zn2 0.3939 0.3939 0.3939
Si1 0.2655 0.2655 0.2655
Si2 0.5409 0.5409 0.5409
Si3 0.8058 0.8058 0.8058
B1 0.1765 0.1765 0.1765
B2 0.7227 0.7227 0.7227

Output
Energy (eV/cell): -28.52



(4)
Below is a relaxed HoFeNi4 crystal, with properties calculated at the PBE-GGA level.

Unit cell a=4.8444 b=4.8444 c=3.9607 alpha=90.00 beta=90.00 gamma=118.44
Fractional coordinates of all 6 atoms:
Ho1 0.0000 0.0000 0.0000
Fe1 0.5000 0.5000 0.5000
Ni1 0.0000 0.5000 0.5000
Ni2 0.3362 0.6638 0.0000
Ni3 0.5000 0.0000 0.5000
Ni4 0.6638 0.3362 0.0000

Output
M_tot (μB per atom): 0.663
Energy (eV/cell): -37.01
DFT formation energy (eV per formula unit): -1.851